[1]
DFT (GGA-PBE) results for a relaxed Pu5SbSe4 crystal.

Cell lengths 4.2203, 5.9809, 11.1460 Å; angles 105.56, 100.91, 90.00 degrees
Site moments in Bohr magnetons follow the coordinates.
Positions (direct):
Pu1 0.6069 0.1069 0.2138  5.41
Pu2 0.8017 0.3017 0.6035  5.51
Pu3 0.1983 0.6983 0.3965  5.51
Pu4 0.0000 0.5000 0.0000  5.38
Pu5 0.3931 0.8931 0.7862  5.41
Sb1 0.0000 0.0000 0.0000  -0.12
Se1 0.3998 0.3998 0.7997  -0.11
Se2 0.7962 0.7962 0.5924  -0.10
Se3 0.2038 0.2038 0.4076  -0.10
Se4 0.6002 0.6002 0.2003  -0.11

## Properties
Space group: Immm (71)
Uncorrected energy: -10.308 eV per atom

=====

[2]
DFT (GGA-PBE) results for a relaxed Pu3SbSe2 crystal.

Cell lengths 7.3886, 7.3752, 7.3752 Å; angles 120.26, 99.57, 99.57 degrees
Site moments in Bohr magnetons follow the coordinates.
Positions (direct):
Pu1 0.9965 0.1426 0.3210  5.40
Pu2 0.4965 0.3210 0.1426  5.40
Pu3 0.0000 0.5000 0.0000  5.40
Pu4 0.0035 0.8574 0.6790  5.40
Pu5 0.5000 0.0000 0.5000  5.40
Pu6 0.5035 0.6790 0.8574  5.40
Sb1 0.2500 0.5783 0.4217  -0.13
Sb2 0.7500 0.4217 0.5783  -0.13
Se1 0.2500 0.9162 0.0838  -0.11
Se2 0.2500 0.2555 0.7445  -0.11
Se3 0.7500 0.0838 0.9162  -0.11
Se4 0.7500 0.7445 0.2555  -0.11

## Properties
Distance to the lowest polymorph of the same formula: 0 meV/atom
Space group: C2/c (15)

=====

[3]
DFT (GGA-PBE) results for a relaxed Pu5Sb2Se2 crystal.

Cell lengths 8.1255, 7.9988, 8.4873 Å; angles 118.11, 90.00, 90.00 degrees
Site moments in Bohr magnetons follow the coordinates.
Positions (direct):
Pu1 0.0000 0.0000 0.0000  5.45
Pu2 0.5000 0.5000 0.0000  5.45
Pu3 0.8464 0.8096 0.2911  5.64
Pu4 0.1536 0.4815 0.2911  5.64
Pu5 0.3464 0.9815 0.2911  5.64
Pu6 0.6536 0.3096 0.2911  5.64
Pu7 0.1536 0.1904 0.7089  5.64
Pu8 0.8464 0.5185 0.7089  5.64
Pu9 0.6536 0.0185 0.7089  5.64
Pu10 0.3464 0.6904 0.7089  5.64
Sb1 0.6446 0.8579 0.0000  -0.13
Sb2 0.3554 0.1421 0.0000  -0.13
Sb3 0.1446 0.6421 0.0000  -0.13
Sb4 0.8554 0.3579 0.0000  -0.13
Se1 0.0000 0.1962 0.3924  -0.10
Se2 0.5000 0.6962 0.3924  -0.10
Se3 0.0000 0.8038 0.6076  -0.10
Se4 0.5000 0.3038 0.6076  -0.10

## Properties
Space group: Cmce (64)
Uncorrected energy: -10.551 eV per atom

=====

[4]
DFT (GGA-PBE) results for a relaxed Pu3Sb2Se crystal.

Cell lengths 4.3433, 6.1586, 7.5186 Å; angles 114.18, 106.79, 90.00 degrees
Site moments in Bohr magnetons follow the coordinates.
Positions (direct):
Pu1 0.8437 0.3437 0.1874  -5.24
Pu2 0.1563 0.6563 0.8126  -5.24
Pu3 0.5000 0.0000 0.5000  -5.25
Sb1 0.8294 0.8294 0.1588  0.14
Sb2 0.1706 0.1706 0.8412  0.14
Se1 0.5000 0.5000 0.5000  0.11

## Properties
Distance to the lowest polymorph of the same formula: 0 meV/atom
Space group: Immm (71)

=====

[5]
DFT (GGA-PBE) results for a relaxed Pu3Sb2Se crystal.

Cell lengths 7.5088, 7.5088, 13.7141 Å; angles 100.52, 100.52, 109.44 degrees
Site moments in Bohr magnetons follow the coordinates.
Positions (direct):
Pu1 0.1649 0.6773 0.8281  5.26
Pu2 0.6631 0.1508 0.8281  5.26
Pu3 0.0851 0.0727 0.6719  5.26
Pu4 0.5869 0.5992 0.6719  5.26
Pu5 0.0132 0.5132 0.5000  -5.28
Pu6 0.4868 0.9868 0.5000  -5.28
Pu7 0.4008 0.4131 0.3281  5.26
Pu8 0.9273 0.9149 0.3281  5.26
Pu9 0.8492 0.3369 0.1719  5.26
Pu10 0.3227 0.8351 0.1719  5.26
Pu11 0.2368 0.2368 0.0000  -5.28
Pu12 0.7632 0.7632 0.0000  -5.28
Sb1 0.9984 0.4984 0.9967  -0.04
Sb2 0.4181 0.4181 0.8363  -0.04
Sb3 0.8319 0.3319 0.6637  -0.04
Sb4 0.2516 0.2516 0.5033  -0.04
Sb5 0.7484 0.7484 0.4967  -0.04
Sb6 0.6681 0.1681 0.3363  -0.04
Sb7 0.5819 0.5819 0.1637  -0.04
Sb8 0.5016 0.0016 0.0033  -0.04
Se1 0.9163 0.9163 0.8326  -0.04
Se2 0.3337 0.8337 0.6674  -0.04
Se3 0.1663 0.6663 0.3326  -0.04
Se4 0.0837 0.0837 0.1674  -0.04

## Properties
Distance to the lowest polymorph of the same formula: 32 meV/atom
Space group: Fddd (70)

=====

[6]
DFT (GGA-PBE) results for a relaxed PuSbSe crystal.

Cell lengths 4.1693, 4.1693, 9.2979 Å; angles 102.96, 102.96, 90.00 degrees
Site moments in Bohr magnetons follow the coordinates.
Positions (direct):
Pu1 0.3477 0.3477 0.6954  5.14
Pu2 0.6523 0.6523 0.3046  5.14
Sb1 0.0000 0.5000 0.0000  -0.08
Sb2 0.5000 0.0000 0.0000  -0.08
Se1 0.1825 0.1825 0.3651  -0.15
Se2 0.8175 0.8175 0.6349  -0.15

## Properties
Space group: I4/mmm (139)
Uncorrected energy: -8.348 eV per atom

=====

[7]
DFT (GGA-PBE) results for a relaxed PuSbSe crystal.

Cell lengths 3.7661, 3.7661, 6.1067 Å; angles 107.96, 107.96, 90.00 degrees
Site moments in Bohr magnetons follow the coordinates.
Positions (direct):
Sb1 0.0082 0.0082 0.0163  0.01
Se1 0.2979 0.2979 0.5958  -0.09
Pu1 0.6939 0.6939 0.3879  5.18

## Properties
Space group: I4mm (107)
Uncorrected energy: -7.999 eV per atom

=====

[8]
DFT (GGA-PBE) results for a relaxed Pu3SbSe2 crystal.

Cell lengths 4.7494, 7.2785, 9.8409 Å; angles 90.00, 90.00, 109.04 degrees
Site moments in Bohr magnetons follow the coordinates.
Positions (direct):
Pu1 0.6353 0.2706 0.0445  5.50
Pu2 0.1127 0.2255 0.7500  5.34
Pu3 0.6353 0.2706 0.4555  5.50
Pu4 0.8873 0.7745 0.2500  5.34
Pu5 0.3647 0.7294 0.9555  5.50
Pu6 0.3647 0.7294 0.5445  5.50
Sb1 0.2259 0.4517 0.2500  -0.15
Sb2 0.7741 0.5483 0.7500  -0.15
Se1 0.0000 0.0000 0.0000  -0.13
Se2 0.0000 0.0000 0.5000  -0.13
Se3 0.4896 0.9792 0.2500  -0.14
Se4 0.5104 0.0208 0.7500  -0.14

## Properties
Distance to the lowest polymorph of the same formula: 236 meV/atom
Space group: Cmcm (63)

=====

[9]
DFT (GGA-PBE) results for a relaxed Pu4Sb3Se crystal.

Cell lengths 7.5294, 7.5552, 8.7680 Å; angles 90.00, 90.00, 109.70 degrees
Site moments in Bohr magnetons follow the coordinates.
Positions (direct):
Sb1 0.7500 0.0000 0.3748  0.03
Sb2 0.2500 0.0000 0.6252  0.03
Sb3 0.7500 0.5000 0.6255  0.04
Sb4 0.7500 0.5000 0.1241  -0.03
Sb5 0.2500 0.5000 0.3745  0.04
Sb6 0.2500 0.5000 0.8759  -0.03
Se1 0.7500 0.0000 0.8776  -0.04
Se2 0.2500 0.0000 0.1224  -0.04
Pu1 0.9938 0.2456 0.6306  -5.25
Pu2 0.5011 0.2370 0.8818  5.30
Pu3 0.4938 0.2456 0.3694  -5.25
Pu4 0.0011 0.2370 0.1182  5.30
Pu5 0.9989 0.7630 0.8818  5.30
Pu6 0.5062 0.7544 0.6306  -5.25
Pu7 0.4989 0.7630 0.1182  5.30
Pu8 0.0062 0.7544 0.3694  -5.25

## Properties
Space group: P2/c (13)
Uncorrected energy: -9.949 eV per atom

=====

[10]
DFT (GGA-PBE) results for a relaxed PuSb2Se4 crystal.

Cell lengths 4.1923, 7.0522, 13.6886 Å; angles 90.00, 90.00, 107.29 degrees
Site moments in Bohr magnetons follow the coordinates.
Positions (direct):
Pu1 0.6210 0.2420 0.7500  5.40
Pu2 0.3790 0.7580 0.2500  5.40
Sb1 0.1316 0.2633 0.4323  0.06
Sb2 0.8684 0.7367 0.9323  0.06
Sb3 0.1316 0.2633 0.0677  0.06
Sb4 0.8684 0.7367 0.5677  0.06
Se1 0.7765 0.5529 0.1211  -0.03
Se2 0.7765 0.5529 0.3789  -0.03
Se3 0.2235 0.4471 0.8789  -0.03
Se4 0.2235 0.4471 0.6211  -0.03
Se5 0.9694 0.9389 0.7500  -0.06
Se6 0.0306 0.0611 0.2500  -0.06
Se7 0.5000 0.0000 0.0000  -0.01
Se8 0.5000 0.0000 0.5000  -0.01

## Properties
Space group: Cmcm (63)
Uncorrected energy: -5.761 eV per atom

=====

[11]
DFT (GGA-PBE) results for a relaxed PuSbSe3 crystal.

Cell lengths 4.2252, 7.9013, 10.9651 Å; angles 131.68, 90.00, 90.00 degrees
Site moments in Bohr magnetons follow the coordinates.
Positions (direct):
Pu1 0.2500 0.1547 0.2326  5.13
Pu2 0.7500 0.8453 0.7674  5.13
Sb1 0.2500 0.4074 0.8196  0.02
Sb2 0.7500 0.5926 0.1804  0.02
Se1 0.2500 0.1704 0.9745  -0.12
Se2 0.7500 0.8296 0.0255  -0.12
Se3 0.2500 0.8834 0.3400  -0.04
Se4 0.7500 0.1166 0.6600  -0.04
Se5 0.2500 0.4974 0.6234  -0.09
Se6 0.7500 0.5026 0.3766  -0.09

## Properties
Space group: P2_1/m (11)
Uncorrected energy: -6.598 eV per atom

=====

[12]
DFT (GGA-PBE) results for a relaxed PuSb3Se6 crystal.

Cell lengths 4.0217, 12.3701, 12.0520 Å; angles 104.79, 90.00, 90.00 degrees
Site moments in Bohr magnetons follow the coordinates.
Positions (direct):
Pu1 0.7500 0.0313 0.6814  5.12
Pu2 0.2500 0.9687 0.3186  5.12
Sb1 0.7500 0.4276 0.8408  0.00
Sb2 0.2500 0.5724 0.1592  0.00
Sb3 0.7500 0.7007 0.4639  0.01
Sb4 0.2500 0.2993 0.5361  0.01
Sb5 0.7500 0.1502 0.0966  0.01
Sb6 0.2500 0.8498 0.9034  0.01
Se1 0.7500 0.4562 0.6227  -0.01
Se2 0.2500 0.5438 0.3773  -0.01
Se3 0.7500 0.9433 0.1201  -0.05
Se4 0.2500 0.0567 0.8799  -0.05
Se5 0.7500 0.4202 0.1009  -0.01
Se6 0.2500 0.5798 0.8991  -0.01
Se7 0.7500 0.7750 0.2763  -0.05
Se8 0.2500 0.2250 0.7237  -0.05
Se9 0.7500 0.1103 0.4644  -0.09
Se10 0.2500 0.8897 0.5356  -0.09
Se11 0.7500 0.8013 0.7482  -0.04
Se12 0.2500 0.1987 0.2518  -0.04

## Properties
Space group: P2_1/m (11)
Uncorrected energy: -5.311 eV per atom